The following is a DFT calculation (meta-GGA SCAN) of a crystal of BeRePt2 relaxed with PBEsol.

Energy relative to the elements   0.093 eV/atom
Raw total energy   -53.87 eV/atom
D(E_F)   0.817 states/eV per atom
Spin magnetization   0.0 μB per formula unit

a = 2.729 Å, b = 4.496 Å, c = 4.503 Å
α = 90.00°, β = 90.00°, γ = 90.00°
Fractional positions:
Pt 0.500 0.000 0.500
Pt 0.000 0.000 0.000
Be 0.000 0.500 0.500
Re 0.500 0.500 0.000

The following is a DFT calculation (meta-GGA SCAN) of a crystal of BePtRh relaxed with PBEsol.

Energy relative to the elements   -0.562 eV/atom
Raw total energy   -36.67 eV/atom
D(E_F)   0.923 states/eV per atom
Spin magnetization   0.0 μB per formula unit

a = 2.733 Å, b = 2.733 Å, c = 5.172 Å
α = 105.32°, β = 105.32°, γ = 90.00°
Fractional positions:
Pt 0.647 0.647 0.293
Be 0.997 0.997 0.995
Rh 0.356 0.356 0.712

The following is a DFT calculation (meta-GGA SCAN) of a crystal of Be2PtRh relaxed with PBEsol.

Energy relative to the elements   -0.572 eV/atom
Raw total energy   -28.74 eV/atom
D(E_F)   0.473 states/eV per atom
Spin magnetization   0.0 μB per formula unit

a = 2.730 Å, b = 3.865 Å, c = 4.746 Å
α = 101.49°, β = 90.00°, γ = 110.68°
Fractional positions:
Rh 0.500 0.000 0.000
Be 0.751 0.503 0.762
Pt 0.000 0.000 0.500
Be 0.249 0.497 0.238

The following is a DFT calculation (meta-GGA SCAN) of a crystal of Be2PtRh relaxed with PBEsol.

Energy relative to the elements   -0.943 eV/atom
Raw total energy   -29.11 eV/atom
D(E_F)   0.206 states/eV per atom
Spin magnetization   0.0 μB per formula unit

a = 2.783 Å, b = 3.924 Å, c = 3.924 Å
α = 90.00°, β = 90.00°, γ = 90.00°
Fractional positions:
Be 0.000 0.500 0.000
Rh 0.500 0.000 0.000
Be 0.000 0.000 0.500
Pt 0.500 0.500 0.500

The following is a DFT calculation (meta-GGA SCAN) of a crystal of Be2PtRh relaxed with PBEsol.

Energy relative to the elements   -0.969 eV/atom
Raw total energy   -29.14 eV/atom
D(E_F)   0.243 states/eV per atom
Spin magnetization   0.0 μB per formula unit

a = 3.928 Å, b = 3.928 Å, c = 3.928 Å
α = 60.00°, β = 60.00°, γ = 60.00°
Fractional positions:
Pt 0.500 0.500 0.500
Be 0.250 0.250 0.250
Rh 0.000 0.000 0.000
Be 0.750 0.750 0.750

The following is a DFT calculation (meta-GGA SCAN) of a crystal of BePtRh3 relaxed with PBEsol.

Energy relative to the elements   0.234 eV/atom
Raw total energy   -34.94 eV/atom
D(E_F)   0.894 states/eV per atom
Spin magnetization   2.7 μB per formula unit

a = 4.042 Å, b = 4.042 Å, c = 4.042 Å
α = 90.00°, β = 90.00°, γ = 90.00°
Fractional positions:
Pt 0.500 0.500 0.500
Rh 0.000 0.000 0.500
Rh 0.500 0.000 0.000
Rh 0.000 0.500 0.000
Be 0.000 0.000 0.000

The following is a DFT calculation (meta-GGA SCAN) of a crystal of BeSnPtRh2 relaxed with PBEsol.

Energy relative to the elements   1.430 eV/atom
Raw total energy   -34.17 eV/atom
D(E_F)   0.524 states/eV per atom
Spin magnetization   0.0 μB per formula unit

a = 4.742 Å, b = 4.742 Å, c = 4.792 Å
α = 90.00°, β = 90.00°, γ = 90.00°
Fractional positions:
Rh 0.000 0.500 0.000
Pt 0.000 0.000 0.500
Be 0.500 0.500 0.500
Sn 0.000 0.000 0.000
Rh 0.500 0.000 0.000

The following is a DFT calculation (meta-GGA SCAN) of a crystal of Sc2BePtS relaxed with PBEsol.

Raw total energy   -22.31 eV/atom
D(E_F)   1.038 states/eV per atom
ΔE_f (raw)   0.220 eV per atom
Spin magnetization   0.0 μB per formula unit

a = 4.573 Å, b = 5.023 Å, c = 5.023 Å
α = 90.00°, β = 90.00°, γ = 90.00°
Fractional positions:
Be 0.500 0.500 0.500
Sc 0.000 0.500 0.000
Sc 0.000 0.000 0.500
Pt 0.000 0.000 0.000
S 0.500 0.000 0.000